No. 1
Material: Ca2Zn3Ga
Method: DFT, GGA-PBE
State: optimized geometry

Cell lengths 9.0506, 8.6625, 5.8366 Å; angles 74.40, 67.20, 38.40 degrees
Element x y z (fractional)
Ca 0.2482 0.7518 0.7518
Ca 0.2500 0.2500 0.2500
Ca 0.7500 0.7500 0.7500
Ca 0.7518 0.2482 0.2482
Zn 0.1670 0.1670 0.8330
Zn 0.1676 0.6660 0.3340
Zn 0.3340 0.8324 0.1676
Zn 0.6660 0.1676 0.8324
Zn 0.8324 0.3340 0.6660
Zn 0.8330 0.8330 0.1670
Ga 0.3338 0.3338 0.6662
Ga 0.6662 0.6662 0.3338

Computed properties:
space group: No. 69
spin magnetization: 0.0000 μB per atom
ρ: 4.4 g cm⁻³
DFT formation energy: -0.342 eV/atom
density of states at the Fermi level: 0.615 states/eV per atom

***

No. 2
Material: Ca2Zn3Ga
Method: DFT, GGA-PBE
State: optimized geometry

Cell lengths 10.6446, 4.5183, 7.3431 Å; angles 90.00, 133.61, 90.00 degrees
Element x y z (fractional)
Ca 0.0000 0.0000 0.0000
Ca 0.0918 0.0000 0.5897
Ca 0.5000 0.5000 0.0000
Ca 0.5918 0.5000 0.5897
Zn 0.2082 0.5000 0.0103
Zn 0.2099 0.5000 0.4058
Zn 0.3807 0.0000 0.1913
Zn 0.7082 0.0000 0.0103
Zn 0.7099 0.0000 0.4058
Zn 0.8807 0.5000 0.1913
Ga 0.3824 0.0000 0.5728
Ga 0.8824 0.5000 0.5728

Computed properties:
space group: No. 8
spin magnetization: 0.0000 μB per atom
ρ: 4.5 g cm⁻³
DFT formation energy: -0.365 eV/atom
density of states at the Fermi level: 0.443 states/eV per atom

***

No. 3
Material: Ca3Zn2Ga4
Method: DFT, GGA-PBE
State: optimized geometry

Cell lengths 5.8490, 5.8490, 8.6372 Å; angles 106.87, 106.87, 44.80 degrees
Element x y z (fractional)
Ca 0.0000 0.0000 0.0000
Ca 0.3533 0.3533 0.3204
Ca 0.6467 0.6467 0.6796
Zn 0.3523 0.3523 0.6858
Zn 0.6477 0.6477 0.3142
Ga 0.0812 0.0812 0.4102
Ga 0.2741 0.2741 0.9362
Ga 0.7259 0.7259 0.0638
Ga 0.9188 0.9188 0.5898

Computed properties:
space group: No. 12
spin magnetization: 0.0000 μB per atom
ρ: 4.5 g cm⁻³
DFT formation energy: -0.448 eV/atom
density of states at the Fermi level: 0.324 states/eV per atom

***

No. 4
Material: Ca4Zn3Ga
Method: DFT, GGA-PBE
State: optimized geometry

Cell lengths 9.0394, 9.0394, 9.0394 Å; angles 33.38, 33.38, 33.38 degrees
Element x y z (fractional)
Ca 0.1245 0.1245 0.1245
Ca 0.3745 0.3745 0.3745
Ca 0.6255 0.6255 0.6255
Ca 0.8755 0.8755 0.8755
Zn 0.2497 0.2497 0.2497
Zn 0.5000 0.5000 0.5000
Zn 0.7503 0.7503 0.7503
Ga 0.0000 0.0000 0.0000

Computed properties:
space group: No. 166
spin magnetization: 0.0000 μB per atom
ρ: 3.6 g cm⁻³
DFT formation energy: -0.297 eV/atom
density of states at the Fermi level: 0.645 states/eV per atom

***

No. 5
Material: Ca8Zn2Ga
Method: DFT, GGA-PBE
State: optimized geometry

Cell lengths 8.3565, 8.3565, 6.1109 Å; angles 100.34, 100.34, 113.17 degrees
Element x y z (fractional)
Ca 0.0000 0.0000 0.0000
Ca 0.0277 0.2839 0.6021
Ca 0.1474 0.5826 0.1906
Ca 0.2839 0.0277 0.6021
Ca 0.4365 0.6932 0.7965
Ca 0.5826 0.1474 0.1906
Ca 0.6932 0.4365 0.7965
Ca 0.7234 0.7234 0.3751
Zn 0.0444 0.6680 0.6850
Zn 0.6680 0.0444 0.6850
Ga 0.3653 0.3653 0.0459

Computed properties:
space group: No. 8
spin magnetization: 0.0000 μB per atom
ρ: 2.3 g cm⁻³
DFT formation energy: -0.119 eV/atom
density of states at the Fermi level: 0.921 states/eV per atom

***

No. 6
Material: Ca2ZnGa
Method: DFT, GGA-PBE
State: optimized geometry

Cell lengths 7.3480, 7.3480, 7.3480 Å; angles 90.00, 90.00, 90.00 degrees
Element x y z (fractional)
Ca 0.2500 0.2500 0.2500
Ca 0.2500 0.2500 0.7500
Ca 0.2500 0.7500 0.2500
Ca 0.2500 0.7500 0.7500
Ca 0.7500 0.2500 0.2500
Ca 0.7500 0.2500 0.7500
Ca 0.7500 0.7500 0.2500
Ca 0.7500 0.7500 0.7500
Zn 0.0000 0.0000 0.0000
Zn 0.0000 0.5000 0.5000
Zn 0.5000 0.0000 0.5000
Zn 0.5000 0.5000 0.0000
Ga 0.0000 0.0000 0.5000
Ga 0.0000 0.5000 0.0000
Ga 0.5000 0.0000 0.0000
Ga 0.5000 0.5000 0.5000

Computed properties:
space group: No. 225
spin magnetization: 0.0000 μB per atom
ρ: 3.6 g cm⁻³
DFT formation energy: -0.358 eV/atom
density of states at the Fermi level: 0.827 states/eV per atom